No. 1
DFT (PBE) results for a geometry-optimized CoPdSe2N structure.

## Properties
Volume = 96.9 Å³/cell
Magnetic moment = 0.630 μB/atom
Uncorrected formation energy = 1.0794 eV per atom
Energy above the lowest structure with this stoichiometry = 712 meV per atom

Geometry as CIF:
```
data_CoPdSe2N
_chemical_formula_sum 'Co1 Pd1 Se2 N1'
_space_group_name_H-M_alt 'P 4/m m m'
_space_group_IT_number 123
_space_group_name_Hall '-P 4 2'
_cell_length_a 5.1445
_cell_length_b 5.1445
_cell_length_c 3.6608
_cell_angle_alpha 90.00
_cell_angle_beta 90.00
_cell_angle_gamma 90.00
loop_
_atom_site_label
_atom_site_fract_x
_atom_site_fract_y
_atom_site_fract_z
Co1 0.0000 0.0000 0.0000
Pd1 0.5000 0.5000 0.5000
Se1 0.0000 0.5000 0.5000
N1 0.5000 0.5000 0.0000
```

***

No. 2
DFT (PBE) results for a geometry-optimized MnIn2S structure.

## Properties
Volume = 358.7 Å³/cell
Magnetic moment = 1.067 μB/atom
Uncorrected formation energy = 0.1571 eV per atom

Geometry as CIF:
```
data_MnIn2S
_chemical_formula_sum 'Mn4 In8 S4'
_space_group_name_H-M_alt 'I -4 2 d'
_space_group_IT_number 122
_space_group_name_Hall 'I -4 2bw'
_cell_length_a 7.6455
_cell_length_b 7.6455
_cell_length_c 6.1373
_cell_angle_alpha 90.00
_cell_angle_beta 90.00
_cell_angle_gamma 90.00
loop_
_atom_site_label
_atom_site_fract_x
_atom_site_fract_y
_atom_site_fract_z
Mn1 0.0000 0.0000 0.0000
In1 0.2383 0.2500 0.6250
S1 0.0000 0.0000 0.5000
```

***

No. 3
DFT (PBE) results for a geometry-optimized Dy2TmScS6 structure.

## Properties
Volume = 723.5 Å³/cell
Magnetic moment = 0.000 μB/atom
Uncorrected formation energy = -2.0098 eV per atom

Geometry as CIF:
```
data_Dy2TmScS6
_chemical_formula_sum 'Dy6 Tm3 Sc3 S18'
_space_group_name_H-M_alt 'R 3'
_space_group_IT_number 146
_space_group_name_Hall 'R 3'
_cell_length_a 6.7806
_cell_length_b 6.7806
_cell_length_c 18.1708
_cell_angle_alpha 90.00
_cell_angle_beta 90.00
_cell_angle_gamma 120.00
loop_
_atom_site_label
_atom_site_fract_x
_atom_site_fract_y
_atom_site_fract_z
Dy1 0.0000 0.0000 0.0000
Dy2 0.0000 0.0000 0.4982
Tm1 0.0000 0.0000 0.2001
Sc1 0.0000 0.0000 0.6977
S1 0.0382 0.3481 0.7686
S2 0.0428 0.6790 0.2705
```

***

No. 4
DFT (PBE) results for a geometry-optimized Tb6Hg2Pt structure.

## Properties
Volume = 534.1 Å³/cell
Magnetic moment = 0.000 μB/atom
Energy above the lowest structure with this stoichiometry = 15 meV per atom
ΔH_f (0 K) = -417 meV/atom

Geometry as CIF:
```
data_Tb6Hg2Pt
_chemical_formula_sum 'Tb12 Hg4 Pt2'
_space_group_name_H-M_alt 'P 1 21/c 1'
_space_group_IT_number 14
_cell_length_a 6.8977
_cell_length_b 7.4624
_cell_length_c 12.2493
_cell_angle_alpha 90.00
_cell_angle_beta 122.10
_cell_angle_gamma 90.00
loop_
_space_group_symop_operation_xyz
'x,y,z'
'-x,-y,-z'
'-x,y+1/2,-z+1/2'
'x,-y+1/2,z+1/2'
loop_
_atom_site_label
_atom_site_fract_x
_atom_site_fract_y
_atom_site_fract_z
Tb1 0.1184 0.2003 0.4461
Tb2 0.2593 0.6810 0.4415
Tb3 0.3688 0.0190 0.2412
Hg1 0.1902 0.0973 0.7395
Pt1 0.5000 0.0000 0.5000
```

***

No. 5
DFT (PBE) results for a geometry-optimized Tb2SmPu structure.

## Properties
Volume = 124.9 Å³/cell
Magnetic moment = 1.581 μB/atom
Energy above the lowest structure with this stoichiometry = 0 meV per atom
ΔH_f (0 K) = 102 meV/atom

Geometry as CIF:
```
data_Tb2SmPu
_chemical_formula_sum 'Tb2 Sm1 Pu1'
_space_group_name_H-M_alt 'P 4/m m m'
_space_group_IT_number 123
_space_group_name_Hall '-P 4 2'
_cell_length_a 3.5199
_cell_length_b 3.5199
_cell_length_c 10.0848
_cell_angle_alpha 90.00
_cell_angle_beta 90.00
_cell_angle_gamma 90.00
loop_
_atom_site_label
_atom_site_fract_x
_atom_site_fract_y
_atom_site_fract_z
Tb1 0.0000 0.0000 0.2416
Sm1 0.5000 0.5000 0.5000
Pu1 0.5000 0.5000 0.0000
```

***

Short version: electronic total energy = -22.20 -72.58 -194.61 -76.37 -27.90 eV per cell, in the order given.